meta-GGA SCAN TaReCl, PBEsol geometry; space group = Imm2; raw formation energy = 0.730 eV/atom; DOS(E_F) = 1.6 states/eV per cell
1.0
-2.711 0.311 0.605
0.543 -2.220 3.572
1.917 4.356 -0.101
Ta Re Cl
1 1 1
Direct
0.671 0.671 0.342
0.335 0.335 0.669
0.994 0.994 0.988



meta-GGA SCAN Zn3Ag, PBEsol geometry; space group = Cmcm; DOS(E_F) = 1.8 states/eV per cell; DFT total energy = -1.322 Ry per atom
1.0
-2.920 0.445 -3.482
1.083 -5.076 -1.557
-2.960 -4.124 1.956
Ag Zn
2 6
Direct
0.250 0.411 0.177
0.750 0.589 0.823
0.750 0.083 0.330
0.750 0.083 0.834
0.250 0.917 0.670
0.750 0.587 0.330
0.250 0.413 0.670
0.250 0.917 0.166



meta-GGA SCAN ZnBi2Au, PBEsol geometry; space group = I-42d; DOS(E_F) = 3.3 states/eV per cell; DFT total energy = -4.393 Ry per atom
1.0
-2.704 0.747 -3.999
1.042 -4.514 -1.547
-6.381 -1.252 7.065
Bi Au Zn
4 2 2
Direct
0.125 0.123 0.750
0.877 0.375 0.250
0.373 0.875 0.250
0.625 0.627 0.750
0.000 0.000 0.000
0.250 0.750 0.500
0.500 0.500 0.000
0.750 0.250 0.500



meta-GGA SCAN BaSb2, PBEsol geometry; space group = I4_1/amd; raw formation energy = -0.748 eV/atom; DOS(E_F) = 3.0 states/eV per cell
1.0
4.729 0.000 0.000
0.000 4.729 0.000
-2.365 -2.365 9.549
Sb Ba
4 2
Direct
0.578 0.578 0.157
0.672 0.172 0.343
0.422 0.422 0.843
0.828 0.328 0.657
0.000 0.000 0.000
0.250 0.750 0.500



meta-GGA SCAN KTeAu2, PBEsol geometry; space group = Imm2; raw formation energy = -0.176 eV/atom; DOS(E_F) = 2.6 states/eV per cell
1.0
3.578 0.000 0.000
0.000 5.613 0.000
-1.789 -2.806 5.185
Te Au K
1 2 1
Direct
0.304 0.804 0.609
0.691 0.191 0.381
0.001 0.001 0.002
0.504 0.504 0.008



meta-GGA SCAN CsNbP2O8, PBEsol geometry; space group = P2_1/c; raw formation energy = -2.601 eV/atom; DOS(E_F) = 0.0 states/eV per cell
1.0
-3.934 -2.348 1.873
5.388 -5.919 3.899
2.278 11.470 14.265
O Nb Cs P
32 4 4 8
Direct
0.115 0.507 0.749
0.083 0.158 0.101
0.031 0.216 0.249
0.917 0.842 0.899
0.189 0.571 0.599
0.885 0.493 0.251
0.615 0.993 0.249
0.689 0.929 0.099
0.433 0.774 0.856
0.385 0.007 0.751
0.695 0.090 0.662
0.933 0.726 0.356
0.195 0.410 0.162
0.811 0.429 0.401
0.815 0.134 0.535
0.311 0.071 0.901
0.638 0.585 0.704
0.362 0.415 0.296
0.531 0.284 0.749
0.185 0.866 0.465
0.067 0.274 0.644
0.685 0.634 0.965
0.862 0.085 0.796
0.567 0.226 0.144
0.805 0.590 0.838
0.305 0.910 0.338
0.315 0.366 0.035
0.138 0.915 0.204
0.969 0.784 0.751
0.417 0.658 0.399
0.469 0.716 0.251
0.583 0.342 0.601
0.671 0.555 0.334
0.329 0.445 0.666
0.171 0.945 0.834
0.829 0.055 0.166
0.774 0.290 0.940
0.274 0.210 0.440
0.726 0.790 0.560
0.226 0.710 0.060
0.703 0.714 0.894
0.887 0.622 0.757
0.387 0.878 0.257
0.613 0.122 0.743
0.297 0.286 0.106
0.113 0.378 0.243
0.797 0.214 0.606
0.203 0.786 0.394



meta-GGA SCAN BaZnNiF7, PBEsol geometry; space group = P2_1/c; raw formation energy = -2.828 eV/atom
1.0
5.470 0.024 0.000
-0.396 9.353 0.000
0.000 0.000 9.863
F Zn Ni Ba
28 4 4 4
Direct
0.878 0.361 0.547
0.627 0.617 0.546
0.255 0.989 0.311
0.529 0.251 0.701
0.013 0.747 0.218
0.255 0.489 0.189
0.987 0.253 0.782
0.745 0.511 0.811
0.369 0.373 0.945
0.631 0.127 0.445
0.373 0.383 0.454
0.471 0.249 0.201
0.100 0.123 0.557
0.013 0.247 0.282
0.122 0.639 0.453
0.373 0.883 0.046
0.529 0.751 0.799
0.878 0.861 0.953
0.471 0.749 0.299
0.627 0.117 0.954
0.900 0.877 0.443
0.631 0.627 0.055
0.369 0.873 0.555
0.100 0.623 0.943
0.987 0.753 0.718
0.900 0.377 0.057
0.745 0.011 0.689
0.122 0.139 0.047
0.701 0.810 0.601
0.701 0.310 0.899
0.299 0.190 0.399
0.299 0.690 0.101
0.805 0.187 0.614
0.195 0.313 0.114
0.805 0.687 0.886
0.195 0.813 0.386
0.742 0.998 0.184
0.258 0.002 0.816
0.258 0.502 0.684
0.742 0.498 0.316



meta-GGA SCAN Cu4PCl, PBEsol geometry; space group = Pmn2_1; raw formation energy = -0.130 eV/atom; DOS(E_F) = 1.8 states/eV per cell
1.0
-4.076 -1.277 -2.421
-0.880 -5.293 4.272
-6.903 7.384 7.727
Cl P Cu
4 4 16
Direct
0.455 0.250 0.501
0.955 0.750 0.999
0.955 0.750 0.499
0.455 0.250 0.001
0.358 0.750 0.749
0.358 0.750 0.249
0.858 0.250 0.251
0.858 0.250 0.751
0.500 0.444 0.750
0.500 0.445 0.250
0.000 0.945 0.250
0.173 0.250 0.370
0.000 0.944 0.750
0.172 0.250 0.630
0.672 0.750 0.370
0.173 0.250 0.870
0.673 0.750 0.130
0.172 0.250 0.130
0.000 0.556 0.250
0.673 0.750 0.630
0.500 0.055 0.750
0.500 0.056 0.250
0.000 0.555 0.750
0.672 0.750 0.870



meta-GGA SCAN CdAg2Cl, PBEsol geometry; space group = Pmmm; raw formation energy = -0.178 eV/atom; E above lowest polymorph = 3.41 kJ/mol of atoms; DOS(E_F) = 0.9 states/eV per cell
1.0
-0.014 -1.735 2.953
3.634 0.099 0.076
-0.224 5.675 3.339
Ag Cd Cl
2 1 1
Direct
0.000 0.000 0.792
0.000 0.000 0.208
0.500 0.500 0.000
0.000 0.500 0.500



meta-GGA SCAN CdGa2Hg, PBEsol geometry; space group = I-42d; E above lowest polymorph = 0.00 kJ/mol of atoms; DOS(E_F) = 3.1 states/eV per cell
1.0
-1.781 3.312 -1.564
-2.999 -0.319 2.738
7.572 4.289 5.763
Cd Ga Hg
2 4 2
Direct
0.500 0.500 0.000
0.750 0.250 0.500
0.625 0.624 0.750
0.376 0.875 0.250
0.874 0.375 0.250
0.125 0.126 0.750
0.250 0.750 0.500
0.000 0.000 0.000



meta-GGA SCAN SrLiNi2, PBEsol geometry; space group = P4/mmm; E above lowest polymorph = 32.99 kJ/mol of atoms; DOS(E_F) = 2.8 states/eV per cell
1.0
3.266 0.000 0.000
0.000 3.266 0.000
0.000 0.000 6.254
Li Ni Sr
1 2 1
Direct
0.500 0.500 0.500
0.000 0.000 0.314
0.000 0.000 0.686
0.500 0.500 0.000



meta-GGA SCAN Re7Tc, PBEsol geometry; space group = Fm-3m; DOS(E_F) = 5.3 states/eV per cell; DFT total energy = -4.891 Ry per atom
1.0
-5.222 -1.295 -1.065
-1.174 -4.534 -2.854
-2.326 -4.290 2.502
Re Tc
7 1
Direct
0.500 0.500 0.500
0.500 0.000 0.500
0.500 0.500 0.000
0.000 0.500 0.500
0.000 0.500 0.000
0.500 0.000 0.000
0.000 0.000 0.500
0.000 0.000 0.000



meta-GGA SCAN CsTm2Cu3Se5, PBEsol geometry; space group = Cmcm; raw formation energy = -1.245 eV/atom
1.0
4.033 0.000 0.000
-2.017 7.184 0.000
0.000 0.000 16.890
Se Tm Cu Cs
10 4 6 2
Direct
0.168 0.337 0.429
0.760 0.519 0.250
0.561 0.122 0.886
0.168 0.337 0.071
0.240 0.481 0.750
0.561 0.122 0.614
0.832 0.663 0.929
0.439 0.878 0.386
0.439 0.878 0.114
0.832 0.663 0.571
0.807 0.615 0.408
0.193 0.385 0.908
0.193 0.385 0.592
0.807 0.615 0.092
0.345 0.690 0.250
0.416 0.831 0.531
0.584 0.169 0.031
0.584 0.169 0.469
0.416 0.831 0.969
0.655 0.310 0.750
0.939 0.879 0.750
0.061 0.121 0.250



meta-GGA SCAN V2NiSe4, PBEsol geometry; space group = C2/m; raw formation energy = -0.641 eV/atom; E above lowest polymorph = 0.00 kJ/mol of atoms; DOS(E_F) = 4.4 states/eV per cell
1.0
-2.128 2.154 1.373
-1.582 -4.178 4.106
5.904 2.719 0.856
Se V Ni
4 2 1
Direct
0.898 0.557 0.796
0.361 0.024 0.721
0.639 0.976 0.279
0.102 0.443 0.204
0.744 0.686 0.488
0.256 0.314 0.512
0.000 0.000 0.000



meta-GGA SCAN Li2AlAg, PBEsol geometry; space group = P4/mmm; DOS(E_F) = 1.2 states/eV per cell; DFT total energy = -0.817 Ry per atom
1.0
-0.120 0.963 2.684
1.184 -2.427 0.923
6.939 3.082 -0.796
Ag Li Al
1 2 1
Direct
0.500 0.500 0.000
0.000 0.000 0.759
0.000 0.000 0.241
0.500 0.500 0.500



meta-GGA SCAN YTl2Pt, PBEsol geometry; space group = R-3m; DOS(E_F) = 2.2 states/eV per cell; DFT total energy = -4.491 Ry per atom
1.0
4.634 0.000 0.000
2.317 4.013 0.000
2.317 1.338 4.770
Tl Pt Y
2 1 1
Direct
0.266 0.266 0.202
0.734 0.734 0.798
0.000 0.000 0.000
0.500 0.500 0.500



meta-GGA SCAN Rb3GdF6, PBEsol geometry; space group = Fm-3m; raw formation energy = -3.397 eV/atom; DOS(E_F) = 0.0 states/eV per cell
1.0
6.795 0.000 0.000
3.397 5.884 0.000
3.397 1.961 5.548
F Rb Gd
6 3 1
Direct
0.228 0.772 0.772
0.772 0.228 0.772
0.772 0.772 0.228
0.228 0.772 0.228
0.772 0.228 0.228
0.228 0.228 0.772
0.750 0.750 0.750
0.250 0.250 0.250
0.500 0.500 0.500
0.000 0.000 0.000



meta-GGA SCAN Sc2NbSi2, PBEsol geometry; space group = P4/mbm; raw formation energy = -0.695 eV/atom; E above lowest polymorph = 0.00 kJ/mol of atoms; DOS(E_F) = 7.0 states/eV per cell
1.0
-0.894 2.504 -2.571
-5.405 -3.810 -1.830
-3.888 3.315 4.580
Nb Sc Si
2 4 4
Direct
0.000 0.000 0.000
0.000 0.500 0.500
0.500 0.324 0.176
0.500 0.676 0.824
0.500 0.824 0.324
0.500 0.176 0.676
0.000 0.127 0.373
0.000 0.873 0.627
0.000 0.627 0.127
0.000 0.373 0.873



meta-GGA SCAN CdCo, PBEsol geometry; space group = R-3m; DOS(E_F) = 1.6 states/eV per cell; DFT total energy = -1.725 Ry per atom
1.0
-0.167 2.262 1.627
-1.404 -0.114 2.409
3.140 -0.509 3.423
Cd Co
1 1
Direct
0.000 0.000 0.000
0.500 0.500 0.500



meta-GGA SCAN CrRuW, PBEsol geometry; space group = F-43m; E above lowest polymorph = 0.00 kJ/mol of atoms; DOS(E_F) = 3.0 states/eV per cell
1.0
4.118 0.000 0.000
2.059 3.567 0.000
2.059 1.189 3.363
W Ru Cr
1 1 1
Direct
0.000 0.000 0.000
0.250 0.250 0.250
0.500 0.500 0.500



meta-GGA SCAN Ca2Fe2Si, PBEsol geometry; space group = I4/mmm; raw formation energy = 0.201 eV/atom; DOS(E_F) = 3.7 states/eV per cell
1.0
3.252 0.000 0.000
0.000 3.252 0.000
-1.626 -1.626 9.249
Si Fe Ca
1 2 2
Direct
0.000 0.000 0.000
0.750 0.250 0.500
0.250 0.750 0.500
0.608 0.608 0.216
0.392 0.392 0.784



meta-GGA SCAN Be2RuCl, PBEsol geometry; space group = P4mm; raw formation energy = 0.019 eV/atom; E above lowest polymorph = 0.00 kJ/mol of atoms; DOS(E_F) = 1.6 states/eV per cell
1.0
2.949 0.000 0.000
0.000 2.949 0.000
0.000 0.000 6.314
Be Ru Cl
2 1 1
Direct
0.000 0.000 0.013
0.500 0.500 0.211
0.500 0.500 0.879
0.000 0.000 0.397